## ZnCr2Si (PBE)

Data for an optimized crystal structure of ZnCr2Si. Values from VASP.

Calculated values
N(E_F) in states/eV per atom: 0.904
Formation energy (no corrections) in eV/atom: 0.209
Total magnetization in μB/f.u.: 0.50
Raw total energy in eV per atom: -6.277
Mass density in Mg/m³: 6.2

Cell and atoms, written as Quantum ESPRESSO input:
```
&SYSTEM
  ibrav = 0, nat = 4, ntyp = 3
/
ATOMIC_SPECIES
Zn 65.41 Zn.upf
Cr 52.00 Cr.upf
Si 28.09 Si.upf
ATOMIC_POSITIONS angstrom
Zn 0.000 0.000 0.000
Cr 0.000 0.000 11.978
Cr 0.000 0.000 18.387
Si 0.000 0.000 5.843
CELL_PARAMETERS angstrom
1.375 0.794 8.095
-1.375 0.794 8.095
0.000 -1.587 8.095
```